Model a:
Entry from the Alexandria database: an optimized crystal structure of ReTe3 (PBE).

Values from the calculation:
The value obtained for the size of the total moment is 0.00 μB/f.u.

CIF file:
```
data_ReTe3
_chemical_formula_sum 'Re1 Te3'
_symmetry_space_group_name_H-M 'P -6 m 2'
_symmetry_Int_Tables_number 187
_symmetry_space_group_name_Hall 'P -6 2'
_cell_length_a 3.4380
_cell_length_b 3.4380
_cell_length_c 10.3102
_cell_angle_alpha 90.00
_cell_angle_beta 90.00
_cell_angle_gamma 120.00
loop_
_atom_site_label
_atom_site_fract_x
_atom_site_fract_y
_atom_site_fract_z
Re1 0.0000 0.0000 0.0000
Te1 0.0000 0.0000 0.5000
Te2 0.6667 0.3333 0.1800
```

=====

Model b:
Entry from the Alexandria database: an optimized crystal structure of ReTe3 (PBE).

Values from the calculation:
The value obtained for the size of the total moment is 0.00 μB/f.u.

CIF file:
```
data_ReTe3
_chemical_formula_sum 'Re2 Te6'
_symmetry_space_group_name_H-M 'I 4/m m m'
_symmetry_Int_Tables_number 139
_symmetry_space_group_name_Hall '-I 4 2'
_cell_length_a 4.822
_cell_length_b 4.822
_cell_length_c 7.742
_cell_angle_alpha 90.00
_cell_angle_beta 90.00
_cell_angle_gamma 90.00
loop_
_atom_site_label
_atom_site_fract_x
_atom_site_fract_y
_atom_site_fract_z
Re1 0.000 0.000 0.000
Te1 0.000 0.000 0.500
Te2 0.000 0.500 0.250
```

=====

Which is most stable, and by how much? model a, by 69.9 kJ/mol of atoms.

=====

Model a:
Entry from the Alexandria database: an optimized crystal structure of B5C7 (PBE).

Values from the calculation:
The value obtained for the size of the total moment is 0.00 μB/f.u.

CIF file:
```
data_B5C7
_chemical_formula_sum 'B10 C14'
_symmetry_space_group_name_H-M 'C 1 m 1'
_symmetry_Int_Tables_number 8
_cell_length_a 13.582
_cell_length_b 2.463
_cell_length_c 4.846
_cell_angle_alpha 90.00
_cell_angle_beta 104.69
_cell_angle_gamma 90.00
loop_
_symmetry_equiv_pos_as_xyz
'x,y,z'
'x,-y,z'
'x+1/2,y+1/2,z'
'x+1/2,-y+1/2,z'
loop_
_atom_site_label
_atom_site_fract_x
_atom_site_fract_y
_atom_site_fract_z
B1 0.000 0.000 0.000
B2 0.057 0.500 0.262
B3 0.221 0.000 0.559
B4 0.336 0.500 0.151
B5 0.393 0.000 0.418
C1 0.016 0.500 0.554
C2 0.055 0.000 0.722
C3 0.173 0.000 0.859
C4 0.177 0.500 0.330
C5 0.210 0.500 0.043
C6 0.346 0.000 0.700
C7 0.379 0.500 0.865
```

=====

Model b:
Entry from the Alexandria database: an optimized crystal structure of B5C7 (PBE).

Values from the calculation:
The value obtained for the size of the total moment is 0.00 μB/f.u.

CIF file:
```
data_B5C7
_chemical_formula_sum 'B10 C14'
_symmetry_space_group_name_H-M 'C 1 m 1'
_symmetry_Int_Tables_number 8
_cell_length_a 13.260
_cell_length_b 2.516
_cell_length_c 4.805
_cell_angle_alpha 90.00
_cell_angle_beta 103.02
_cell_angle_gamma 90.00
loop_
_symmetry_equiv_pos_as_xyz
'x,y,z'
'x,-y,z'
'x+1/2,y+1/2,z'
'x+1/2,-y+1/2,z'
loop_
_atom_site_label
_atom_site_fract_x
_atom_site_fract_y
_atom_site_fract_z
B1 0.000 0.000 0.000
B2 0.017 0.000 0.645
B3 0.146 0.000 0.838
B4 0.207 0.500 0.088
B5 0.316 0.000 0.646
C1 0.038 0.500 0.225
C2 0.154 0.500 0.355
C3 0.185 0.000 0.536
C4 0.329 0.500 0.163
C5 0.363 0.000 0.349
C6 0.371 0.500 0.880
C7 0.480 0.000 0.454
```

=====

Which is most stable, and by how much? model a, by 3.2 kJ/mol of atoms.

=====

Model a:
Entry from the Alexandria database: an optimized crystal structure of ErBeRu (PBE).

Values from the calculation:
The value obtained for the size of the total moment is 0.00 μB/f.u.

CIF file:
```
data_ErBeRu
_chemical_formula_sum 'Er4 Be4 Ru4'
_symmetry_space_group_name_H-M 'P n m a'
_symmetry_Int_Tables_number 62
_cell_length_a 6.814
_cell_length_b 4.118
_cell_length_c 6.974
_cell_angle_alpha 90.00
_cell_angle_beta 90.00
_cell_angle_gamma 90.00
loop_
_symmetry_equiv_pos_as_xyz
'x,y,z'
'-x,-y,-z'
'-x+1/2,-y,z+1/2'
'x+1/2,y,-z+1/2'
'x+1/2,-y+1/2,-z+1/2'
'-x+1/2,y+1/2,z+1/2'
'-x,y+1/2,-z'
'x,-y+1/2,z'
loop_
_atom_site_label
_atom_site_fract_x
_atom_site_fract_y
_atom_site_fract_z
Er1 0.004 0.250 0.197
Be1 0.187 0.250 0.592
Ru1 0.171 0.750 0.426
```

=====

Model b:
Entry from the Alexandria database: an optimized crystal structure of ErBeRu (PBE).

Values from the calculation:
The value obtained for the size of the total moment is 0.00 μB/f.u.

CIF file:
```
data_ErBeRu
_chemical_formula_sum 'Er2 Be2 Ru2'
_symmetry_space_group_name_H-M 'I 4 m m'
_symmetry_Int_Tables_number 107
_symmetry_space_group_name_Hall 'I 4 -2'
_cell_length_a 3.207
_cell_length_b 3.207
_cell_length_c 9.440
_cell_angle_alpha 90.00
_cell_angle_beta 90.00
_cell_angle_gamma 90.00
loop_
_atom_site_label
_atom_site_fract_x
_atom_site_fract_y
_atom_site_fract_z
Er1 0.000 0.000 0.000
Be1 0.000 0.000 0.715
Ru1 0.000 0.000 0.295
```

=====

Which is most stable, and by how much? model a, by 5.8 kJ/mol of atoms.

=====

Model a:
Entry from the Alexandria database: an optimized crystal structure of ScSe2Cl (PBE).

Values from the calculation:
The value obtained for the size of the total moment is 0.00 μB/f.u.

CIF file:
```
data_ScSe2Cl
_chemical_formula_sum 'Sc2 Se4 Cl2'
_symmetry_space_group_name_H-M 'I m m 2'
_symmetry_Int_Tables_number 44
_cell_length_a 3.678
_cell_length_b 4.814
_cell_length_c 13.733
_cell_angle_alpha 90.00
_cell_angle_beta 90.00
_cell_angle_gamma 90.00
loop_
_symmetry_equiv_pos_as_xyz
'x,y,z'
'-x,-y,z'
'-x,y,z'
'x,-y,z'
'x+1/2,y+1/2,z+1/2'
'-x+1/2,-y+1/2,z+1/2'
'-x+1/2,y+1/2,z+1/2'
'x+1/2,-y+1/2,z+1/2'
loop_
_atom_site_label
_atom_site_fract_x
_atom_site_fract_y
_atom_site_fract_z
Sc1 0.000 0.000 0.000
Se1 0.000 0.000 0.564
Se2 0.000 0.500 0.637
Cl1 0.000 0.500 0.371
```

=====

Model b:
Entry from the Alexandria database: an optimized crystal structure of ScSe2Cl (PBE).

Values from the calculation:
The value obtained for the size of the total moment is 0.00 μB/f.u.

CIF file:
```
data_ScSe2Cl
_chemical_formula_sum 'Sc2 Se4 Cl2'
_symmetry_space_group_name_H-M 'C m m m'
_symmetry_Int_Tables_number 65
_symmetry_space_group_name_Hall '-C 2 2'
_cell_length_a 5.083
_cell_length_b 8.461
_cell_length_c 4.156
_cell_angle_alpha 90.00
_cell_angle_beta 90.00
_cell_angle_gamma 90.00
loop_
_atom_site_label
_atom_site_fract_x
_atom_site_fract_y
_atom_site_fract_z
Sc1 0.000 0.000 0.000
Se1 0.250 0.250 0.500
Cl1 0.000 0.500 0.000
```

=====

Which is most stable, and by how much? model a, by 34.3 kJ/mol of atoms.

=====

Model a:
Entry from the Alexandria database: an optimized crystal structure of CuRuCl2 (PBE).

Values from the calculation:
The value obtained for the size of the total moment is 0.00 μB/f.u.

CIF file:
```
data_CuRuCl2
_chemical_formula_sum 'Cu2 Ru2 Cl4'
_symmetry_space_group_name_H-M 'I m m m'
_symmetry_Int_Tables_number 71
_symmetry_space_group_name_Hall '-I 2 2'
_cell_length_a 3.021
_cell_length_b 4.314
_cell_length_c 13.015
_cell_angle_alpha 90.00
_cell_angle_beta 90.00
_cell_angle_gamma 90.00
loop_
_atom_site_label
_atom_site_fract_x
_atom_site_fract_y
_atom_site_fract_z
Cu1 0.000 0.000 0.000
Ru1 0.000 0.000 0.500
Cl1 0.000 0.500 0.142
```

=====

Model b:
Entry from the Alexandria database: an optimized crystal structure of CuRuCl2 (PBE).

Values from the calculation:
The value obtained for the size of the total moment is 0.00 μB/f.u.

CIF file:
```
data_CuRuCl2
_chemical_formula_sum 'Cu1 Ru1 Cl2'
_symmetry_space_group_name_H-M 'P 1 2/m 1'
_symmetry_Int_Tables_number 10
_cell_length_a 3.098
_cell_length_b 3.813
_cell_length_c 5.865
_cell_angle_alpha 90.00
_cell_angle_beta 100.81
_cell_angle_gamma 90.00
loop_
_symmetry_equiv_pos_as_xyz
'x,y,z'
'-x,-y,-z'
'-x,y,-z'
'x,-y,z'
loop_
_atom_site_label
_atom_site_fract_x
_atom_site_fract_y
_atom_site_fract_z
Cu1 0.000 0.000 0.000
Ru1 0.000 0.000 0.500
Cl1 0.165 0.500 0.750
```

=====

Which is most stable, and by how much? model a, by 27.9 kJ/mol of atoms.

=====

Model a:
Entry from the Alexandria database: an optimized crystal structure of TbPmPb (PBE).

Values from the calculation:
The value obtained for the size of the total moment is 0.00 μB/f.u.

CIF file:
```
data_TbPmPb
_chemical_formula_sum 'Tb2 Pm2 Pb2'
_symmetry_space_group_name_H-M 'P 4/n m m'
_symmetry_Int_Tables_number 129
_cell_length_a 4.629
_cell_length_b 4.629
_cell_length_c 8.766
_cell_angle_alpha 90.00
_cell_angle_beta 90.00
_cell_angle_gamma 90.00
loop_
_symmetry_equiv_pos_as_xyz
'x,y,z'
'-x,-y,-z'
'-y+1/2,x,z'
'y+1/2,-x,-z'
'-x+1/2,-y+1/2,z'
'x+1/2,y+1/2,-z'
'y,-x+1/2,z'
'-y,x+1/2,-z'
'x+1/2,-y,-z'
'-x+1/2,y,z'
'-y,-x,-z'
'y,x,z'
'-x,y+1/2,-z'
'x,-y+1/2,z'
'y+1/2,x+1/2,-z'
'-y+1/2,-x+1/2,z'
loop_
_atom_site_label
_atom_site_fract_x
_atom_site_fract_y
_atom_site_fract_z
Tb1 0.250 0.750 0.000
Pm1 0.250 0.250 0.345
Pb1 0.250 0.250 0.720
```

=====

Model b:
Entry from the Alexandria database: an optimized crystal structure of TbPmPb (PBE).

Values from the calculation:
The value obtained for the size of the total moment is 0.01 μB/f.u.

CIF file:
```
data_TbPmPb
_chemical_formula_sum 'Tb4 Pm4 Pb4'
_symmetry_space_group_name_H-M 'C m m m'
_symmetry_Int_Tables_number 65
_symmetry_space_group_name_Hall '-C 2 2'
_cell_length_a 11.699
_cell_length_b 12.067
_cell_length_c 3.460
_cell_angle_alpha 90.00
_cell_angle_beta 90.00
_cell_angle_gamma 90.00
loop_
_atom_site_label
_atom_site_fract_x
_atom_site_fract_y
_atom_site_fract_z
Tb1 0.000 0.234 0.000
Pm1 0.000 0.000 0.500
Pm2 0.000 0.500 0.000
Pb1 0.236 0.500 0.500
```

=====

Which is most stable, and by how much? model a, by 84.9 kJ/mol of atoms.

=====

Model a:
Entry from the Alexandria database: an optimized crystal structure of Fe2WBr (PBE).

Values from the calculation:
The value obtained for the size of the total moment is 1.39 μB/f.u.

CIF file:
```
data_Fe2WBr
_chemical_formula_sum 'Fe4 W2 Br2'
_symmetry_space_group_name_H-M 'C 1 2/m 1'
_symmetry_Int_Tables_number 12
_cell_length_a 7.339
_cell_length_b 2.996
_cell_length_c 7.200
_cell_angle_alpha 90.00
_cell_angle_beta 116.34
_cell_angle_gamma 90.00
loop_
_symmetry_equiv_pos_as_xyz
'x,y,z'
'-x,-y,-z'
'-x,y,-z'
'x,-y,z'
'x+1/2,y+1/2,z'
'-x+1/2,-y+1/2,-z'
'-x+1/2,y+1/2,-z'
'x+1/2,-y+1/2,z'
loop_
_atom_site_label
_atom_site_fract_x
_atom_site_fract_y
_atom_site_fract_z
Fe1 0.140 0.000 0.326
W1 0.000 0.500 0.500
Br1 0.000 0.500 0.000
```

=====

Model b:
Entry from the Alexandria database: an optimized crystal structure of Fe2WBr (PBE).

Values from the calculation:
The value obtained for the size of the total moment is 4.17 μB/f.u.

CIF file:
```
data_Fe2WBr
_chemical_formula_sum 'Fe2 W1 Br1'
_symmetry_space_group_name_H-M 'P 4/m m m'
_symmetry_Int_Tables_number 123
_symmetry_space_group_name_Hall '-P 4 2'
_cell_length_a 2.982
_cell_length_b 2.982
_cell_length_c 6.901
_cell_angle_alpha 90.00
_cell_angle_beta 90.00
_cell_angle_gamma 90.00
loop_
_atom_site_label
_atom_site_fract_x
_atom_site_fract_y
_atom_site_fract_z
Fe1 0.000 0.000 0.229
W1 0.500 0.500 0.000
Br1 0.500 0.500 0.500
```

=====

Which is most stable, and by how much? model b, by 12.5 kJ/mol of atoms.

=====

Model a:
Entry from the Alexandria database: an optimized crystal structure of Li2Al2Sb (PBE).

Values from the calculation:
The value obtained for the size of the total moment is 0.00 μB/f.u.

CIF file:
```
data_Li2Al2Sb
_chemical_formula_sum 'Li4 Al4 Sb2'
_symmetry_space_group_name_H-M 'I 4/m m m'
_symmetry_Int_Tables_number 139
_symmetry_space_group_name_Hall '-I 4 2'
_cell_length_a 3.943
_cell_length_b 3.943
_cell_length_c 13.224
_cell_angle_alpha 90.00
_cell_angle_beta 90.00
_cell_angle_gamma 90.00
loop_
_atom_site_label
_atom_site_fract_x
_atom_site_fract_y
_atom_site_fract_z
Li1 0.000 0.500 0.250
Al1 0.000 0.000 0.097
Sb1 0.000 0.000 0.500
```

=====

Model b:
Entry from the Alexandria database: an optimized crystal structure of Li2Al2Sb (PBE).

Values from the calculation:
The value obtained for the size of the total moment is 0.00 μB/f.u.

CIF file:
```
data_Li2Al2Sb
_chemical_formula_sum 'Li4 Al4 Sb2'
_symmetry_space_group_name_H-M 'P 4/m b m'
_symmetry_Int_Tables_number 127
_symmetry_space_group_name_Hall '-P 4 2ab'
_cell_length_a 7.831
_cell_length_b 7.831
_cell_length_c 3.095
_cell_angle_alpha 90.00
_cell_angle_beta 90.00
_cell_angle_gamma 90.00
loop_
_atom_site_label
_atom_site_fract_x
_atom_site_fract_y
_atom_site_fract_z
Li1 0.177 0.323 0.000
Al1 0.120 0.620 0.500
Sb1 0.000 0.000 0.500
```

=====

Which is most stable, and by how much? model b, by 9.5 kJ/mol of atoms.

=====

Model a:
Entry from the Alexandria database: an optimized crystal structure of FeReTe2 (PBE).

Values from the calculation:
The value obtained for the size of the total moment is 2.16 μB/f.u.

CIF file:
```
data_FeReTe2
_chemical_formula_sum 'Fe1 Re1 Te2'
_symmetry_space_group_name_H-M 'P 4 m m'
_symmetry_Int_Tables_number 99
_cell_length_a 3.242
_cell_length_b 3.242
_cell_length_c 8.066
_cell_angle_alpha 90.00
_cell_angle_beta 90.00
_cell_angle_gamma 90.00
loop_
_symmetry_equiv_pos_as_xyz
'x,y,z'
'-y,x,z'
'-x,-y,z'
'y,-x,z'
'-x,y,z'
'y,x,z'
'x,-y,z'
'-y,-x,z'
loop_
_atom_site_label
_atom_site_fract_x
_atom_site_fract_y
_atom_site_fract_z
Fe1 0.000 0.000 0.000
Re1 0.500 0.500 0.192
Te1 0.000 0.000 0.383
Te2 0.500 0.500 0.833
```

=====

Model b:
Entry from the Alexandria database: an optimized crystal structure of FeReTe2 (PBE).

Values from the calculation:
The value obtained for the size of the total moment is 2.03 μB/f.u.

CIF file:
```
data_FeReTe2
_chemical_formula_sum 'Fe1 Re1 Te2'
_symmetry_space_group_name_H-M 'P 4/m m m'
_symmetry_Int_Tables_number 123
_symmetry_space_group_name_Hall '-P 4 2'
_cell_length_a 3.289
_cell_length_b 3.289
_cell_length_c 6.643
_cell_angle_alpha 90.00
_cell_angle_beta 90.00
_cell_angle_gamma 90.00
loop_
_atom_site_label
_atom_site_fract_x
_atom_site_fract_y
_atom_site_fract_z
Fe1 0.000 0.000 0.000
Re1 0.000 0.000 0.500
Te1 0.500 0.500 0.247
```

=====

Which is most stable, and by how much? model a, by 29.2 kJ/mol of atoms.

=====

Model a:
Entry from the Alexandria database: an optimized crystal structure of SrTc2Rh (PBE).

Values from the calculation:
The value obtained for the size of the total moment is 1.03 μB/f.u.

CIF file:
```
data_SrTc2Rh
_chemical_formula_sum 'Sr4 Tc8 Rh4'
_symmetry_space_group_name_H-M 'F -4 3 m'
_symmetry_Int_Tables_number 216
_symmetry_space_group_name_Hall 'F -4 2 3'
_cell_length_a 6.562
_cell_length_b 6.562
_cell_length_c 6.562
_cell_angle_alpha 90.00
_cell_angle_beta 90.00
_cell_angle_gamma 90.00
loop_
_atom_site_label
_atom_site_fract_x
_atom_site_fract_y
_atom_site_fract_z
Sr1 0.000 0.000 0.000
Tc1 0.000 0.000 0.500
Tc2 0.250 0.250 0.750
Rh1 0.250 0.250 0.250
```

=====

Model b:
Entry from the Alexandria database: an optimized crystal structure of SrTc2Rh (PBE).

Values from the calculation:
The value obtained for the size of the total moment is 0.00 μB/f.u.

CIF file:
```
data_SrTc2Rh
_chemical_formula_sum 'Sr4 Tc8 Rh4'
_symmetry_space_group_name_H-M 'I -4 2 d'
_symmetry_Int_Tables_number 122
_symmetry_space_group_name_Hall 'I -4 2bw'
_cell_length_a 7.758
_cell_length_b 7.758
_cell_length_c 5.394
_cell_angle_alpha 90.00
_cell_angle_beta 90.00
_cell_angle_gamma 90.00
loop_
_atom_site_label
_atom_site_fract_x
_atom_site_fract_y
_atom_site_fract_z
Sr1 0.000 0.000 0.000
Tc1 0.191 0.250 0.625
Rh1 0.000 0.000 0.500
```

=====

Which is most stable, and by how much? model a, by 23.4 kJ/mol of atoms.